# 1
Density functional theory data (PBE) for a relaxed structure of Sm4MgCd3.

Properties
**Calculated formation energy**: -264 meV/atom
**Relative energy among the computed polymorphs**: 0 meV per atom

a = 3.856 Å, b = 5.373 Å, c = 10.763 Å
α = 90.00°, β = 90.00°, γ = 90.00°
Sites, in units of the cell vectors:
Mg (0.500, 0.500, 0.000)
Sm (0.000, 0.000, 0.500)
Sm (0.000, 0.500, 0.748)
Sm (0.000, 0.000, 0.000)
Sm (0.000, 0.500, 0.252)
Cd (0.500, 0.000, 0.245)
Cd (0.500, 0.500, 0.500)
Cd (0.500, 0.000, 0.755)

---

# 2
Density functional theory data (PBE) for a relaxed structure of SmMg12Cd6.

Properties
**Calculated formation energy**: 25 meV/atom

a = 8.065 Å, b = 8.065 Å, c = 8.065 Å
α = 104.68°, β = 104.68°, γ = 104.68°
Sites, in units of the cell vectors:
Sm (0.000, 0.000, 0.000)
Mg (0.888, 0.112, 0.500)
Mg (0.859, 0.610, 0.610)
Mg (0.610, 0.610, 0.859)
Mg (0.390, 0.141, 0.390)
Mg (0.390, 0.390, 0.141)
Mg (0.141, 0.390, 0.390)
Mg (0.112, 0.500, 0.888)
Mg (0.500, 0.888, 0.112)
Mg (0.112, 0.888, 0.500)
Mg (0.888, 0.500, 0.112)
Mg (0.500, 0.112, 0.888)
Mg (0.610, 0.859, 0.610)
Cd (0.713, 0.281, 0.281)
Cd (0.281, 0.281, 0.713)
Cd (0.281, 0.713, 0.281)
Cd (0.719, 0.719, 0.287)
Cd (0.287, 0.719, 0.719)
Cd (0.719, 0.287, 0.719)

---

# 3
Density functional theory data (PBE) for a relaxed structure of Sm3Mg2Cd4.

Properties
**Calculated formation energy**: -277 meV/atom

a = 5.105 Å, b = 6.130 Å, c = 9.470 Å
α = 118.58°, β = 90.00°, γ = 114.60°
Sites, in units of the cell vectors:
Sm (0.665, 0.331, 0.668)
Sm (0.000, 0.000, 0.000)
Sm (0.335, 0.669, 0.332)
Mg (0.614, 0.228, 0.282)
Mg (0.386, 0.772, 0.718)
Cd (0.724, 0.447, 0.060)
Cd (0.276, 0.553, 0.940)
Cd (0.944, 0.888, 0.612)
Cd (0.056, 0.112, 0.388)

---

# 4
Density functional theory data (PBE) for a relaxed structure of SmMgCd14.

Properties
**Calculated formation energy**: -73 meV/atom

a = 6.566 Å, b = 6.566 Å, c = 8.578 Å
α = 90.00°, β = 90.00°, γ = 90.00°
Sites, in units of the cell vectors:
Sm (0.875, 0.875, 0.500)
Mg (0.375, 0.375, 0.500)
Cd (0.875, 0.875, 0.000)
Cd (0.375, 0.375, 0.000)
Cd (0.875, 0.375, 0.500)
Cd (0.875, 0.375, 0.000)
Cd (0.375, 0.875, 0.500)
Cd (0.375, 0.875, 0.000)
Cd (0.620, 0.130, 0.245)
Cd (0.620, 0.130, 0.755)
Cd (0.130, 0.620, 0.245)
Cd (0.130, 0.620, 0.755)
Cd (0.620, 0.620, 0.244)
Cd (0.620, 0.620, 0.756)
Cd (0.130, 0.130, 0.245)
Cd (0.130, 0.130, 0.755)

---

- The highest calculated formation energy belongs to which entry?
  SmMg12Cd6

---

- Which of these has the lowest calculated formation energy?
  Sm3Mg2Cd4

---

- Look up the calculated formation energy of the second one.
  25 meV/atom